Density functional theory data (PBE) for a relaxed structure of RbFeCo.

Cell: 5.904 5.904 8.697 Å, 90.00 90.00 120.00°
Fractional coordinates of all 6 atoms:
Rb 0.333 0.667 0.250
Rb 0.667 0.333 0.750
Fe 0.000 0.000 0.250
Fe 0.000 0.000 0.750
Co 0.000 0.000 0.000
Co 0.000 0.000 0.500

E_form ... 152.51 kJ/mol of atoms
Raw total energy ... -3.9314 eV/atom
Symmetry ... P6_3/mmc
Theoretical density ... 2.533 g cm⁻³
Calculated volume ... 43.76 Å³ per atom